Material: KB2H8
Method: DFT, PBE
State: relaxed

Properties
size of the total moment = 1.00 μB/f.u.
ΔE to the lowest computed polymorph = 0 meV per atom

Cell: 4.8096 4.8574 8.4851 Å, 119.63 90.00 119.67°
Closest atoms and distances in Å follow each position.
Sites, in units of the cell vectors:
H: 0.6343 0.6980 0.1938  1 B 1.21
H: 0.6592 0.3184 0.2296  1 B 1.22
H: 0.0565 0.1131 0.5676  1 H 0.99
H: 0.9363 0.3020 0.8062  1 B 1.21
H: 0.3657 0.3020 0.8062  1 B 1.21
H: 0.9435 0.8869 0.4324  1 H 0.99
H: 0.0637 0.6980 0.1938  1 B 1.21
H: 0.3408 0.6816 0.7704  1 B 1.22
B: 0.8077 0.6155 0.2377  3 H 1.21-1.22
B: 0.1923 0.3845 0.7623  3 H 1.21-1.22
K: 0.0000 0.0000 0.0000  12 H 2.78-2.90

=====

Material: CdCo2HRh
Method: DFT, PBE
State: relaxed

Properties
size of the total moment = 3.68 μB/f.u.
E_tot = -5.02 eV per atom
DOS(E_F) = 1.478 states/eV/atom

Cell: 3.8569 3.8569 3.9169 Å, 90.00 90.00 90.00°
Closest atoms and distances in Å follow each position.
Sites, in units of the cell vectors:
H: 0.0000 0.0000 0.0000  4 Co 1.93, 2 Rh 1.96
Co: 0.0000 0.5000 0.0000  2 H 1.93
Co: 0.5000 0.0000 0.0000  2 H 1.93
Cd: 0.5000 0.5000 0.5000  4 Rh 2.73, 8 Co 2.75
Rh: 0.0000 0.0000 0.5000  2 H 1.96

=====

Material: HfZrH2Au
Method: DFT, PBE
State: relaxed

Properties
size of the total moment = 0.00 μB/f.u.
E_tot = -5.40 eV per atom
DOS(E_F) = 0.447 states/eV/atom

Cell: 3.8655 5.9418 3.8655 Å, 90.00 90.00 90.00°
Closest atoms and distances in Å follow each position.
Sites, in units of the cell vectors:
Zr: 0.0000 0.5000 0.0000  4 Au 2.73, 2 Hf 2.97
H: 0.0000 0.0000 0.5000  2 Hf 1.93
H: 0.5000 0.0000 0.0000  2 Hf 1.93
Au: 0.5000 0.5000 0.5000  4 Zr 2.73
Hf: 0.0000 0.0000 0.0000  4 H 1.93

=====

Material: ZnSnSe2Br
Method: DFT, PBE
State: relaxed

Properties
size of the total moment = 0.00 μB/f.u.
uncorrected formation energy = -0.092 eV per atom
ΔE to the lowest computed polymorph = 0 meV per atom
DOS(E_F) = 0.463 states/eV/atom

Cell: 4.9404 4.9404 5.2372 Å, 90.00 90.00 90.00°
Closest atoms and distances in Å follow each position.
Sites, in units of the cell vectors:
Se: 0.0000 0.5000 0.0000  2 Zn 2.47
Se: 0.5000 0.0000 0.0000  2 Zn 2.47
Zn: 0.0000 0.0000 0.0000  4 Se 2.47, 2 Br 2.62
Sn: 0.5000 0.5000 0.5000  4 Br 3.49, 8 Se 3.60
Br: 0.0000 0.0000 0.5000  2 Zn 2.62

=====

Material: NaCaTl5
Method: DFT, PBE
State: relaxed

Properties
size of the total moment = 0.00 μB/f.u.
ΔH_f (0 K) = -0.76 eV/f.u.
ΔE to the lowest computed polymorph = 0 meV per atom
DOS(E_F) = 0.597 states/eV/atom

Cell: 4.7221 4.7221 9.8250 Å, 90.00 90.00 90.00°
Closest atoms and distances in Å follow each position.
Sites, in units of the cell vectors:
Tl: 0.5000 0.5000 0.0000  4 Ca 3.34, 8 Tl 3.50
Tl: 0.5000 0.0000 0.2628  2 Na 3.32, 6 Tl 3.34-3.50, 2 Ca 3.50
Tl: 0.0000 0.5000 0.7372  2 Na 3.32, 6 Tl 3.34-3.50, 2 Ca 3.50
Tl: 0.0000 0.5000 0.2628  2 Na 3.32, 6 Tl 3.34-3.50, 2 Ca 3.50
Tl: 0.5000 0.0000 0.7372  2 Na 3.32, 6 Tl 3.34-3.50, 2 Ca 3.50
Na: 0.0000 0.0000 0.5000  8 Tl 3.32
Ca: 0.0000 0.0000 0.0000  12 Tl 3.34-3.50

=====

Material: AcScSe
Method: DFT, PBE
State: relaxed

Properties
size of the total moment = 0.00 μB/f.u.
uncorrected formation energy = -0.930 eV per atom
ΔE to the lowest computed polymorph = 0 meV per atom
DOS(E_F) = 0.962 states/eV/atom

Cell: 6.4076 6.4076 7.9785 Å, 90.00 90.00 120.00°
Closest atoms and distances in Å follow each position.
Sites, in units of the cell vectors:
Ac: 0.2968 0.2869 0.9548  4 Se 3.12-3.30
Ac: 0.7131 0.0099 0.6214  4 Se 3.12-3.30
Ac: 0.9901 0.7032 0.2881  4 Se 3.12-3.30
Se: 0.2392 0.0347 0.6024  2 Sc 2.62-2.63
Se: 0.9653 0.2045 0.2691  2 Sc 2.62-2.63
Se: 0.7955 0.7608 0.9357  2 Sc 2.62-2.63
Sc: 0.3666 0.4375 0.4428  2 Se 2.62-2.63
Sc: 0.5625 0.9291 0.1095  2 Se 2.62-2.63
Sc: 0.0709 0.6334 0.7762  2 Se 2.62-2.63

=====

Material: NaHf2As
Method: DFT, PBE
State: relaxed

Properties
size of the total moment = 0.00 μB/f.u.
ΔH_f (0 K) = 0.79 eV/f.u.
ΔE to the lowest computed polymorph = 0 meV per atom
DOS(E_F) = 0.098 states/eV/atom

Cell: 4.8099 4.8099 4.8099 Å, 60.00 60.00 60.00°
Closest atoms and distances in Å follow each position.
Sites, in units of the cell vectors:
As: 0.5000 0.5000 0.5000  8 Hf 2.95
Hf: 0.7500 0.7500 0.7500  4 Na 2.95, 4 As 2.95
Hf: 0.2500 0.2500 0.2500  4 As 2.95, 4 Na 2.95
Na: 0.0000 0.0000 0.0000  8 Hf 2.95

=====

Material: SiP2WCl
Method: DFT, PBE
State: relaxed

Properties
size of the total moment = 0.08 μB/f.u.
uncorrected formation energy = 0.724 eV per atom
ΔE to the lowest computed polymorph = 0 meV per atom
DOS(E_F) = 0.872 states/eV/atom

Cell: 4.7143 4.7143 4.8162 Å, 90.00 90.00 90.00°
Closest atoms and distances in Å follow each position.
Sites, in units of the cell vectors:
Cl: 0.0000 0.0000 0.5000  2 W 2.41
P: 0.5000 0.0000 0.0000  2 W 2.36
P: 0.0000 0.5000 0.0000  2 W 2.36
W: 0.0000 0.0000 0.0000  4 P 2.36, 2 Cl 2.41
Si: 0.5000 0.5000 0.5000  4 Cl 3.33, 8 P 3.37

=====

Which of these has the highest size of the total moment?
CdCo2HRh

=====

Look up the size of the total moment of the second one.
3.68 μB/f.u.

=====

Look up the size of the total moment of the second one.
3.68 μB/f.u.